No. 1
The following is a DFT calculation (PBE) of crystalline RbGa2AsH2 at its relaxed geometry.

Values from the calculation:
Its raw total energy is -3.117 eV/atom.

abc: 6.0946 7.1205 7.2464
angles: 115.85 90.00 90.00
Last column: nearest neighbours and their distance in Å.
Positions (direct):
1 Rb 0.2500 0.7035 0.2901  2 H 3.06-3.07
2 Rb 0.7500 0.2965 0.7099  2 H 3.06-3.07
3 Ga 0.5016 0.8307 0.7824  2 H 1.84-1.85
4 As 0.2500 0.1687 0.9196  4 Ga 2.64-2.65
5 Ga 0.9984 0.8307 0.7824  2 H 1.84-1.85
6 H 0.7500 0.3278 0.3023  2 Ga 1.84
7 H 0.7500 0.8392 0.6399  2 Ga 1.85
8 H 0.2500 0.1608 0.3601  2 Ga 1.85
9 H 0.2500 0.6722 0.6977  2 Ga 1.84
10 Ga 0.0016 0.1693 0.2176  2 H 1.84-1.85
11 As 0.7500 0.8313 0.0804  4 Ga 2.64-2.65
12 Ga 0.4984 0.1693 0.2176  2 H 1.84-1.85

---

No. 2
The following is a DFT calculation (PBE) of crystalline GaSb2AsH at its relaxed geometry.

Values from the calculation:
Its raw total energy is -3.422 eV/atom.

abc: 4.7365 4.3990 4.7365
angles: 90.00 90.00 90.00
Last column: nearest neighbours and their distance in Å.
Positions (direct):
1 H 0.0000 0.0000 0.0000  2 Ga 2.20, 4 Sb 2.37
2 Sb 0.5000 0.0000 0.0000  2 H 2.37
3 Ga 0.0000 0.5000 0.0000  2 H 2.20
4 As 0.5000 0.5000 0.5000  8 Sb 3.23, 4 Ga 3.35
5 Sb 0.0000 0.0000 0.5000  2 H 2.37

---

No. 3
The following is a DFT calculation (PBE) of crystalline ScGaAs2H at its relaxed geometry.

Values from the calculation:
Its raw total energy is -3.777 eV/atom.

abc: 5.0705 5.5105 5.0705
angles: 90.00 90.00 90.00
Last column: nearest neighbours and their distance in Å.
Positions (direct):
1 As 0.5000 0.0000 0.0000  2 Sc 2.54
2 H 0.5000 0.5000 0.5000  4 Ga 3.59, 8 As 3.74
3 Sc 0.0000 0.0000 0.0000  4 As 2.54, 2 Ga 2.76
4 Ga 0.0000 0.5000 0.0000  2 Sc 2.76
5 As 0.0000 0.0000 0.5000  2 Sc 2.54

---

No. 4
The following is a DFT calculation (PBE) of crystalline GaAsHSe2 at its relaxed geometry.

Values from the calculation:
The calculation puts the distance to the lowest polymorph of the same formula at 0 kJ/mol of formula units.

abc: 5.0249 5.0249 3.4788
angles: 90.00 90.00 90.00
Last column: nearest neighbours and their distance in Å.
Positions (direct):
1 Ga 0.5000 0.5000 0.5000  8 Se 3.06
2 As 0.0000 0.0000 0.5000  2 H 1.74
3 Se 0.0000 0.5000 0.0000  2 H 2.51
4 H 0.0000 0.0000 0.0000  2 As 1.74
5 Se 0.5000 0.0000 0.0000  2 H 2.51

---

No. 5
The following is a DFT calculation (PBE) of crystalline GaAsHSe2 at its relaxed geometry.

Values from the calculation:
The calculation puts the distance to the lowest polymorph of the same formula at 244 kJ/mol of formula units.

abc: 5.0726 5.0726 4.9133
angles: 90.00 90.00 90.00
Last column: nearest neighbours and their distance in Å.
Positions (direct):
1 Ga 0.0000 0.0000 0.0000  2 As 2.46, 4 Se 2.54
2 Se 0.5000 0.0000 0.0000  2 Ga 2.54
3 As 0.0000 0.0000 0.5000  2 Ga 2.46
4 Se 0.0000 0.5000 0.0000  2 Ga 2.54
5 H 0.5000 0.5000 0.5000  8 Se 3.53, 4 As 3.59

---

No. 6
The following is a DFT calculation (PBE) of crystalline SrGaAsH at its relaxed geometry.

Values from the calculation:
Its raw total energy is -3.691 eV/atom.

abc: 4.5045 4.5045 9.9734
angles: 90.00 90.00 120.00
Last column: nearest neighbours and their distance in Å.
Positions (direct):
1 Ga 0.0000 0.0000 0.1754  1 H 1.73
2 H 0.0000 0.0000 0.5015  1 Ga 1.73
3 As 0.6667 0.3333 0.7230  3 Ga 2.64
4 Sr 0.6667 0.3333 0.4125  3 H 2.75
5 As 0.3333 0.6667 0.2230  3 Ga 2.64
6 H 0.0000 0.0000 0.0015  1 Ga 1.73
7 Sr 0.3333 0.6667 0.9125  3 H 2.75
8 Ga 0.0000 0.0000 0.6754  1 H 1.73

---

No. 7
The following is a DFT calculation (PBE) of crystalline Zn2GaAsH at its relaxed geometry.

Values from the calculation:
The calculation puts the distance to the lowest polymorph of the same formula at 0 kJ/mol of formula units.

abc: 4.9730 3.3641 4.9730
angles: 90.00 90.00 90.00
Last column: nearest neighbours and their distance in Å.
Positions (direct):
1 H 0.0000 0.5000 0.0000  2 Ga 1.68
2 Zn 0.5000 0.0000 0.0000  2 Ga 2.49
3 Ga 0.0000 0.0000 0.0000  2 H 1.68
4 As 0.5000 0.5000 0.5000  8 Zn 3.00
5 Zn 0.0000 0.0000 0.5000  2 Ga 2.49

---

No. 8
The following is a DFT calculation (PBE) of crystalline Zn2GaAsH at its relaxed geometry.

Values from the calculation:
The calculation puts the distance to the lowest polymorph of the same formula at 162 kJ/mol of formula units.

abc: 4.9757 5.1778 4.9757
angles: 90.00 90.00 90.00
Last column: nearest neighbours and their distance in Å.
Positions (direct):
1 As 0.0000 0.0000 0.0000  4 Zn 2.49, 2 Ga 2.59
2 Zn 0.5000 0.0000 0.0000  2 As 2.49
3 Ga 0.0000 0.5000 0.0000  2 As 2.59
4 H 0.5000 0.5000 0.5000  4 Ga 3.52, 8 Zn 3.59
5 Zn 0.0000 0.0000 0.5000  2 As 2.49

---

No. 9
The following is a DFT calculation (PBE) of crystalline HfGaAs2 at its relaxed geometry.

Values from the calculation:
The value obtained for the formation energy is -0.9 eV/f.u.

abc: 6.0399 6.0399 7.2146
angles: 65.25 65.25 90.00
Last column: nearest neighbours and their distance in Å.
Positions (direct):
1 Hf 0.0000 0.0000 0.0000  4 As 2.61
2 As 0.1327 0.6250 0.2500  2 Ga 2.56, 2 Hf 2.61
3 As 0.8750 0.8673 0.7500  2 Ga 2.56, 2 Hf 2.61
4 Ga 0.5000 0.5000 0.0000  4 As 2.56
5 As 0.6173 0.1250 0.2500  2 Ga 2.56, 2 Hf 2.61
6 Ga 0.2500 0.7500 0.5000  4 As 2.56
7 Hf 0.7500 0.2500 0.5000  4 As 2.61
8 As 0.3750 0.3827 0.7500  2 Ga 2.56, 2 Hf 2.61

---

No. 10
The following is a DFT calculation (PBE) of crystalline Hf8Ga2As at its relaxed geometry.

Values from the calculation:
The value obtained for the formation energy is -3.3 eV/f.u.

abc: 4.1622 6.7199 8.4178
angles: 93.04 104.31 90.00
Last column: nearest neighbours and their distance in Å.
Positions (direct):
1 Hf 0.6619 0.0368 0.3238  1 As 2.64, 3 Ga 2.78-2.89
2 Hf 0.4023 0.4835 0.8047  2 Ga 2.92, 8 Hf 3.06-3.18
3 As 0.5000 0.0000 0.0000  6 Hf 2.64-2.71
4 Ga 0.1757 0.7669 0.3513  9 Hf 2.78-2.94
5 Hf 0.5977 0.5165 0.1953  2 Ga 2.92, 8 Hf 3.06-3.18
6 Hf 0.0046 0.2583 0.0092  2 As 2.71, 1 Ga 2.94
7 Hf 0.2134 0.3498 0.4269  3 Ga 2.89-2.90, 7 Hf 3.04-3.16
8 Hf 0.9954 0.7417 0.9908  2 As 2.71, 1 Ga 2.94
9 Ga 0.8243 0.2331 0.6487  9 Hf 2.78-2.94
10 Hf 0.3381 0.9632 0.6762  1 As 2.64, 3 Ga 2.78-2.89
11 Hf 0.7866 0.6502 0.5731  3 Ga 2.89-2.90, 7 Hf 3.04-3.16

---

No. 11
The following is a DFT calculation (PBE) of crystalline Hf6Ga3As at its relaxed geometry.

Values from the calculation:
The value obtained for the formation energy is -2.6 eV/f.u.

abc: 6.5614 8.1417 8.1417
angles: 108.48 90.00 90.00
Last column: nearest neighbours and their distance in Å.
Positions (direct):
1 Hf 0.6729 0.2878 0.7122  1 As 2.87, 3 Ga 2.89-3.10, 4 Hf 3.07-3.20
2 Hf 0.7519 0.5161 0.1060  3 Ga 2.69-2.80, 1 As 2.79
3 Ga 0.9650 0.0172 0.2667  7 Hf 2.69-2.89, 1 Ga 2.70
4 Ga 0.4650 0.2667 0.0172  7 Hf 2.69-2.89, 1 Ga 2.70
5 Ga 0.8355 0.5477 0.4523  7 Hf 2.79-3.10
6 Hf 0.1144 0.7667 0.6754  4 Ga 2.78-2.84, 2 Hf 3.01-3.07
7 Hf 0.1729 0.7122 0.2878  1 As 2.87, 3 Ga 2.89-3.10, 4 Hf 3.07-3.20
8 Ga 0.9650 0.7333 0.9828  7 Hf 2.69-2.89, 1 Ga 2.70
9 As 0.5429 0.8287 0.1713  4 Hf 2.60-2.87
10 Hf 0.2714 0.9721 0.0279  1 As 2.60, 4 Ga 2.74
11 As 0.0429 0.1713 0.8287  4 Hf 2.60-2.87
12 Ga 0.4650 0.9828 0.7333  7 Hf 2.69-2.89, 1 Ga 2.70
13 Hf 0.6144 0.6754 0.7667  4 Ga 2.78-2.84, 2 Hf 3.01-3.07
14 Hf 0.2519 0.4839 0.8940  3 Ga 2.69-2.80, 1 As 2.79
15 Hf 0.6144 0.2333 0.3246  4 Ga 2.78-2.84, 2 Hf 3.01-3.07
16 Hf 0.1144 0.3246 0.2333  4 Ga 2.78-2.84, 2 Hf 3.01-3.07
17 Hf 0.2519 0.1060 0.5161  3 Ga 2.69-2.80, 1 As 2.79
18 Hf 0.7519 0.8940 0.4839  3 Ga 2.69-2.80, 1 As 2.79
19 Ga 0.3355 0.4523 0.5477  7 Hf 2.79-3.10
20 Hf 0.7714 0.0279 0.9721  1 As 2.60, 4 Ga 2.74

---

No. 12
The following is a DFT calculation (PBE) of crystalline Hf8GaAs6 at its relaxed geometry.

Values from the calculation:
The value obtained for the formation energy is -8.1 eV/f.u.

abc: 3.7212 9.7836 9.7836
angles: 120.00 90.00 90.00
Last column: nearest neighbours and their distance in Å.
Positions (direct):
1 Hf 0.7419 0.0364 0.7281  3 As 2.61-2.72
2 As 0.7534 0.3571 0.8771  5 Hf 2.61-2.72
3 As 0.7534 0.1229 0.4800  5 Hf 2.61-2.72
4 As 0.7534 0.5200 0.6429  5 Hf 2.61-2.72
5 As 0.2466 0.4800 0.3571  5 Hf 2.61-2.72
6 Hf 0.7419 0.6917 0.9636  3 As 2.61-2.72
7 As 0.2466 0.6429 0.1229  5 Hf 2.61-2.72
8 Hf 0.2581 0.7281 0.6917  3 As 2.61-2.72
9 Hf 0.7451 0.6667 0.3333  6 As 2.69-2.70
10 Hf 0.2549 0.3333 0.6667  6 As 2.69-2.70
11 Hf 0.2581 0.3083 0.0364  3 As 2.61-2.72
12 Ga 0.5000 0.0000 0.0000  6 Hf 2.99
13 As 0.2466 0.8771 0.5200  5 Hf 2.61-2.72
14 Hf 0.7419 0.2719 0.3083  3 As 2.61-2.72
15 Hf 0.2581 0.9636 0.2719  3 As 2.61-2.72